Record 1
## Cs2CaCdBr6 (GGA-PBE)

Data for a relaxed structure of Cs2CaCdBr6.

```
Cs2CaCdBr6
1.0
7.933 0.000 0.000
-3.967 6.870 0.000
0.000 0.000 7.035
Cs Ca Cd Br
2 1 1 6
Direct
0.333 0.667 0.282
0.667 0.333 0.718
0.000 0.000 0.000
0.000 0.000 0.500
0.164 0.328 0.741
0.164 0.836 0.741
0.328 0.164 0.259
0.672 0.836 0.741
0.836 0.164 0.259
0.836 0.672 0.259
```

Calculated values
The raw formation energy is -1.617 eV/atom. For the volume, the calculation gives 383 Å³ per cell. The total magnetic moment comes out at 0.00 Bohr magnetons per cell. The density of states at the Fermi level is 0.00 states/eV per cell. The crystal system is trigonal. Its space group is P-3m1.

Record 2
## Li3NpPa2N6 (GGA-PBE)

Data for a relaxed structure of Li3NpPa2N6.

```
Li3NpPa2N6
1.0
3.061 -5.294 0.000
3.061 5.294 0.000
-2.067 0.000 5.041
Li Np Pa N
3 1 2 6
Direct
0.000 0.000 0.000
0.356 0.644 0.000
0.644 0.356 0.000
0.500 0.500 0.500
0.167 0.833 0.500
0.833 0.167 0.500
0.108 0.431 0.298
0.240 0.240 0.711
0.431 0.108 0.298
0.569 0.892 0.702
0.760 0.760 0.289
0.892 0.569 0.702
```

Calculated values
The raw formation energy is -1.149 eV/atom. For the volume, the calculation gives 163 Å³ per cell. The total magnetic moment comes out at 2.00 Bohr magnetons per cell. The density of states at the Fermi level is 7.18 states/eV per cell. The crystal system is monoclinic. Its space group is C2/m.

Record 3
## KLiCu2 (GGA-PBE)

Data for a relaxed structure of KLiCu2.

```
KLiCu2
1.0
4.366 0.000 0.000
0.000 4.366 0.000
0.000 0.000 4.381
K Li Cu
1 1 2
Direct
0.000 0.000 0.000
0.500 0.500 0.000
0.000 0.500 0.500
0.500 0.000 0.500
```

Calculated values
For the volume, the calculation gives 84 Å³ per cell. The total magnetic moment comes out at 0.00 Bohr magnetons per cell. The density of states at the Fermi level is 0.71 states/eV per cell. The crystal system is tetragonal. The calculated formation energy is 0.52 eV per atom. Its space group is P4/mmm.

Record 4
## ZrCdSe2 (GGA-PBE)

Data for a relaxed structure of ZrCdSe2.

```
ZrCdSe2
1.0
2.032 1.173 7.761
-2.032 1.173 7.761
0.000 -2.346 7.761
Zr Cd Se
1 1 2
Direct
0.000 0.000 0.000
0.251 0.251 0.251
0.535 0.535 0.535
0.723 0.723 0.723
```

Calculated values
The raw formation energy is -0.509 eV/atom. For the volume, the calculation gives 111 Å³ per cell. The total magnetic moment comes out at 0.00 Bohr magnetons per cell. The density of states at the Fermi level is 1.76 states/eV per cell. The crystal system is trigonal. Its space group is R3m.

- Look up the total magnetic moment of the third one.
  0.00 Bohr magnetons per cell

- Look up the total magnetic moment of the second one.
  2.00 Bohr magnetons per cell

- Which value of total magnetic moment does entry 4 give?
  0.00 Bohr magnetons per cell